A plane-wave DFT calculation with PBE-GGA was carried out for crystalline TeIr2Se at its relaxed geometry.

Energy above the most stable polymorph in this dataset (kcal/mol of atoms): 11.85
Energy (eV per atom): -5.552
Formation energy from raw total energies (eV/atom): 0.54

Unit cell a=4.632 b=4.632 c=4.632 alpha=60.00 beta=60.00 gamma=60.00
Element x y z (fractional)
Ir (0.250, 0.250, 0.250)
Ir (0.750, 0.750, 0.750)
Te (0.500, 0.500, 0.500)
Se (0.000, 0.000, 0.000)